VASP calculation (PBE) on a relaxed ScFe3Sb crystal.

a = 4.6987 Å, b = 4.6987 Å, c = 4.6987 Å
α = 90.00°, β = 90.00°, γ = 90.00°
Closest atoms and distances in Å follow each position.
Element x y z (fractional)
1 Sb 0.0000 0.0000 0.0000  6 Fe 2.35
2 Fe 0.0000 0.5000 0.0000  2 Sb 2.35
3 Sc 0.5000 0.5000 0.5000  12 Fe 3.32
4 Fe 0.5000 0.0000 0.0000  2 Sb 2.35
5 Fe 0.0000 0.0000 0.5000  2 Sb 2.35

The symmetry is Pm-3m, No. 221. The raw total energy comes out at -6.30 eV/atom. The value obtained for the total magnetization is 6.222 μB/f.u. The formation energy without anion corrections comes out at 0.870 eV per atom. Its crystal system is cubic. The calculation puts the density of states at the Fermi level at 1.01 states/eV/atom.


VASP calculation (PBE) on a relaxed ScFeSb4 crystal.

a = 6.0988 Å, b = 6.0988 Å, c = 6.0988 Å
α = 60.00°, β = 60.00°, γ = 60.00°
Closest atoms and distances in Å follow each position.
Element x y z (fractional)
1 Fe 0.0000 0.0000 0.0000  12 Sb 3.57, 4 Sc 3.73
2 Sb 0.3747 0.3747 0.3747  6 Sb 3.04-3.06
3 Sb 0.3747 0.3747 0.8760  6 Sb 3.04-3.06
4 Sb 0.3747 0.8760 0.3747  6 Sb 3.04-3.06
5 Sc 0.7500 0.7500 0.7500  12 Sb 3.58, 4 Fe 3.73
6 Sb 0.8760 0.3747 0.3747  6 Sb 3.04-3.06

The symmetry is F-43m, No. 216. The raw total energy comes out at -4.66 eV/atom. The value obtained for the total magnetization is 2.376 μB/f.u. The formation energy without anion corrections comes out at 0.557 eV per atom. Its crystal system is cubic. The calculation puts the density of states at the Fermi level at 0.85 states/eV/atom.


VASP calculation (PBE) on a relaxed ScFe2Sb crystal.

a = 8.1976 Å, b = 8.1976 Å, c = 8.1976 Å
α = 22.23°, β = 22.23°, γ = 22.23°
Closest atoms and distances in Å follow each position.
Element x y z (fractional)
1 Sb 0.2500 0.2500 0.2500  6 Fe 2.65
2 Sc 0.7500 0.7500 0.7500  6 Fe 2.76
3 Fe 0.5032 0.5032 0.5032  3 Sb 2.65, 3 Sc 2.76
4 Fe 0.9968 0.9968 0.9968  3 Sb 2.65, 3 Sc 2.76

The symmetry is R-3m, No. 166. The raw total energy comes out at -6.51 eV/atom. The value obtained for the total magnetization is 3.106 μB/f.u. The formation energy without anion corrections comes out at 0.338 eV per atom. Its crystal system is trigonal. The calculation puts the density of states at the Fermi level at 1.34 states/eV/atom.


VASP calculation (PBE) on a relaxed ScFeSb2 crystal.

a = 5.7058 Å, b = 5.7058 Å, c = 5.7058 Å
α = 138.00°, β = 138.00°, γ = 60.90°
Closest atoms and distances in Å follow each position.
Element x y z (fractional)
1 Sc 0.5000 0.5000 0.0000  8 Sb 2.89-3.20, 4 Fe 3.20
2 Sb 0.0000 0.0000 0.0000  4 Sc 2.89, 4 Fe 3.20, 4 Sb 3.20
3 Fe 0.7500 0.2500 0.5000  8 Sb 2.89-3.20, 4 Sc 3.20
4 Sb 0.2500 0.7500 0.5000  4 Fe 2.89, 4 Sc 3.20, 4 Sb 3.20

The symmetry is I-4m2, No. 119. The raw total energy comes out at -5.88 eV/atom. The value obtained for the total magnetization is 2.550 μB/f.u. The formation energy without anion corrections comes out at -0.118 eV per atom. Its crystal system is tetragonal. The calculation puts the density of states at the Fermi level at 1.07 states/eV/atom.


VASP calculation (PBE) on a relaxed Sc2Fe6Sb crystal.

a = 7.4430 Å, b = 7.4430 Å, c = 2.7585 Å
α = 90.00°, β = 90.00°, γ = 120.00°
Closest atoms and distances in Å follow each position.
Element x y z (fractional)
1 Sb 0.0000 0.0000 0.5000  9 Fe 2.67-2.73, 2 Sb 2.76
2 Fe 0.0000 0.3587 0.5000  1 Sb 2.67, 8 Fe 2.76-2.88, 4 Sc 2.76
3 Fe 0.0000 0.6834 0.0000  2 Sc 2.55, 2 Sb 2.73, 4 Fe 2.76-2.78
4 Sc 0.6667 0.3333 0.0000  9 Fe 2.55-2.76, 2 Sc 2.76
5 Fe 0.6413 0.6413 0.5000  1 Sb 2.67, 8 Fe 2.76-2.88, 4 Sc 2.76
6 Sc 0.3333 0.6667 0.0000  9 Fe 2.55-2.76, 2 Sc 2.76
7 Fe 0.6834 0.0000 0.0000  2 Sc 2.55, 2 Sb 2.73, 4 Fe 2.76-2.78
8 Fe 0.3166 0.3166 0.0000  2 Sc 2.55, 2 Sb 2.73, 4 Fe 2.76-2.78
9 Fe 0.3587 0.0000 0.5000  1 Sb 2.67, 8 Fe 2.76-2.88, 4 Sc 2.76

The symmetry is P-62m, No. 189. The raw total energy comes out at -7.22 eV/atom. The value obtained for the total magnetization is 12.140 μB/f.u. The formation energy without anion corrections comes out at 0.282 eV per atom. Its crystal system is hexagonal. The calculation puts the density of states at the Fermi level at 1.25 states/eV/atom.


VASP calculation (PBE) on a relaxed ScFe2Sb crystal.

a = 4.9243 Å, b = 4.9243 Å, c = 4.9243 Å
α = 131.66°, β = 131.66°, γ = 70.76°
Closest atoms and distances in Å follow each position.
Element x y z (fractional)
1 Sb 0.5000 0.5000 0.0000  4 Sc 2.85, 8 Fe 2.85
2 Sc 0.7500 0.2500 0.5000  8 Fe 2.85, 4 Sb 2.85
3 Fe 0.0000 0.0000 0.0000  4 Fe 2.85, 4 Sc 2.85, 4 Sb 2.85
4 Fe 0.2500 0.7500 0.5000  4 Fe 2.85, 4 Sb 2.85, 4 Sc 2.85

The symmetry is I-4m2, No. 119. The raw total energy comes out at -6.93 eV/atom. The value obtained for the total magnetization is 4.096 μB/f.u. The formation energy without anion corrections comes out at -0.090 eV per atom. Its crystal system is tetragonal. The calculation puts the density of states at the Fermi level at 0.70 states/eV/atom.